First-principles (GGA-PBE) data for SrCa2MoP after structural relaxation, as listed in Alexandria via LeMat-Bulk.

abc: 6.176 6.176 5.284
angles: 90.00 90.00 90.00
Atoms (fractional coordinates):
Sr (0.000, 0.000, 0.000)
Ca (0.000, 0.500, 0.000)
Ca (0.500, 0.000, 0.000)
Mo (0.500, 0.500, 0.500)
P (0.000, 0.000, 0.500)

As for the raw total energy: -14.5 eV per cell. As for the density of states at the Fermi level: 4.4 states/eV per cell. Its symmetry is No. 123. The size of the total moment comes out at 3.90 μB per cell.